Arrangement a

A relaxed NbV3Mo crystal, computed with PBE-GGA.

a = 6.878 Å, b = 6.878 Å, c = 5.364 Å
α = 98.26°, β = 98.26°, γ = 36.38°
Positions (direct):
1 Nb 0.199 0.199 0.146
2 Nb 0.801 0.801 0.854
3 V 0.001 0.001 0.751
4 V 0.196 0.196 0.643
5 V 0.405 0.405 0.052
6 V 0.595 0.595 0.948
7 V 0.804 0.804 0.357
8 V 0.999 0.999 0.249
9 Mo 0.401 0.401 0.549
10 Mo 0.599 0.599 0.451

Space-group type: No. 12

=====

Arrangement b

A relaxed NbV3Mo crystal, computed with PBE-GGA.

a = 7.898 Å, b = 7.898 Å, c = 5.105 Å
α = 97.78°, β = 97.78°, γ = 77.99°
Positions (direct):
1 Nb 0.007 0.824 0.971
2 Nb 0.176 0.993 0.529
3 Nb 0.824 0.007 0.471
4 Nb 0.993 0.176 0.029
5 V 0.047 0.663 0.446
6 V 0.129 0.498 0.896
7 V 0.234 0.351 0.368
8 V 0.337 0.953 0.054
9 V 0.351 0.234 0.868
10 V 0.498 0.129 0.396
11 V 0.502 0.871 0.604
12 V 0.649 0.766 0.132
13 V 0.663 0.047 0.946
14 V 0.766 0.649 0.632
15 V 0.871 0.502 0.104
16 V 0.953 0.337 0.554
17 Mo 0.344 0.656 0.250
18 Mo 0.374 0.626 0.750
19 Mo 0.626 0.374 0.250
20 Mo 0.656 0.344 0.750

Space-group type: No. 15

=====

Bottom line: arrangement a, by a margin of 16.6 kJ/mol of atoms.

=====

Arrangement a

A relaxed NbVMoW crystal, computed with PBE-GGA.

a = 6.333 Å, b = 6.333 Å, c = 6.333 Å
α = 90.00°, β = 90.00°, γ = 90.00°
Positions (direct):
1 Nb 0.000 0.000 0.000
2 Nb 0.000 0.500 0.500
3 Nb 0.500 0.000 0.500
4 Nb 0.500 0.500 0.000
5 V 0.250 0.250 0.250
6 V 0.250 0.750 0.750
7 V 0.750 0.250 0.750
8 V 0.750 0.750 0.250
9 Mo 0.250 0.250 0.750
10 Mo 0.250 0.750 0.250
11 Mo 0.750 0.250 0.250
12 Mo 0.750 0.750 0.750
13 W 0.000 0.000 0.500
14 W 0.000 0.500 0.000
15 W 0.500 0.000 0.000
16 W 0.500 0.500 0.500

Space-group type: No. 216

=====

Arrangement b

A relaxed NbVMoW crystal, computed with PBE-GGA.

a = 3.156 Å, b = 4.507 Å, c = 8.926 Å
α = 90.00°, β = 90.00°, γ = 90.00°
Positions (direct):
1 Nb 0.000 0.000 0.000
2 Nb 0.500 0.500 0.500
3 V 0.000 0.000 0.503
4 V 0.500 0.500 0.003
5 Mo 0.000 0.500 0.248
6 Mo 0.500 0.000 0.748
7 W 0.000 0.500 0.755
8 W 0.500 0.000 0.255

Space-group type: No. 44

=====

Bottom line: arrangement a, by a margin of 2.2 kJ/mol of atoms.